# CaSeIN2

A relaxed structure of CaSeIN2 (GGA-PBE, Alexandria).

a = 4.6362 Å, b = 4.6362 Å, c = 6.1072 Å
α = 90.00°, β = 90.00°, γ = 90.00°
Space group P4/mmm (No. 123)
Unique sites:
1 Ca 0.0000 0.0000 0.0000 (multiplicity 1)
2 Se 0.0000 0.0000 0.5000 (multiplicity 1)
3 I 0.5000 0.5000 0.5000 (multiplicity 1)
4 N 0.0000 0.5000 0.0000 (multiplicity 2)

# CaSeIN2

A relaxed structure of CaSeIN2 (GGA-PBE, Alexandria).

a = 4.1863 Å, b = 4.1863 Å, c = 6.0152 Å
α = 90.00°, β = 90.00°, γ = 90.00°
Space group P4/mmm (No. 123)
Unique sites:
1 Ca 0.0000 0.0000 0.0000 (multiplicity 1)
2 Se 0.0000 0.0000 0.5000 (multiplicity 1)
3 I 0.5000 0.5000 0.0000 (multiplicity 1)
4 N 0.0000 0.5000 0.5000 (multiplicity 2)

Energy relative to the elements, uncorrected across the listed records, respectively: 1.1841, 0.8252 eV/atom.
Spin magnetization across the listed records, respectively: 4.647, 2.011 μB/f.u..